(1)
A plane-wave DFT calculation with GGA-PBE was carried out for a relaxed structure of Na3Sr2.

Unit cell a=7.2843 b=12.5342 c=9.8041 alpha=90.00 beta=90.00 gamma=90.00
Space group Cmce (No. 64)
Symmetry-distinct sites (fractional):
Na: 0.0000 0.0000 0.0000 [4 per cell]
Na: 0.2500 0.0953 0.2500 [8 per cell]
Sr: 0.0000 0.1625 0.5990 [8 per cell]

polymorph energy (0 for the lowest one) = 0.025 eV/atom
ΔE_f = 0.3 eV/f.u.

(2)
A plane-wave DFT calculation with GGA-PBE was carried out for a relaxed structure of CrReRh2.

Unit cell a=5.3606 b=7.6891 c=2.6892 alpha=90.00 beta=90.00 gamma=90.00
Space group Cmmm (No. 65)
Symmetry-distinct sites (fractional):
Cr: 0.0000 0.0000 0.0000 [2 per cell]
Re: 0.0000 0.5000 0.0000 [2 per cell]
Rh: 0.2500 0.2500 0.5000 [4 per cell]

polymorph energy (0 for the lowest one) = 0.072 eV/atom
ΔE_f = -0.2 eV/f.u.

(3)
A plane-wave DFT calculation with GGA-PBE was carried out for a relaxed structure of K2CuCl3.

Unit cell a=12.2200 b=4.1728 c=12.6645 alpha=90.00 beta=90.00 gamma=90.00
Space group Pnma (No. 62)
Symmetry-distinct sites (fractional):
K: 0.0109 0.2500 0.1753 [4 per cell]
K: 0.1737 0.2500 0.5182 [4 per cell]
Cu: 0.2456 0.7500 0.3014 [4 per cell]
Cl: 0.0621 0.7500 0.3595 [4 per cell]
Cl: 0.1355 0.2500 0.9460 [4 per cell]
Cl: 0.2268 0.7500 0.7129 [4 per cell]

polymorph energy (0 for the lowest one) = 0.000 eV/atom
E_form (uncorrected) = -1444 meV/atom

(4)
A plane-wave DFT calculation with GGA-PBE was carried out for a relaxed structure of Mg2Mn2Se5.

Unit cell a=4.2194 b=4.2194 c=42.9243 alpha=90.00 beta=90.00 gamma=120.00
Space group R3m (No. 160, hexagonal axes)
Symmetry-distinct sites (fractional):
Mg: 0.0000 0.0000 0.0000 [3 per cell]
Mg: 0.0000 0.0000 0.1553 [3 per cell]
Mn: 0.0000 0.0000 0.5777 [3 per cell]
Mn: 0.0000 0.0000 0.7445 [3 per cell]
Se: 0.0000 0.0000 0.0779 [3 per cell]
Se: 0.0000 0.0000 0.2161 [3 per cell]
Se: 0.0000 0.0000 0.6852 [3 per cell]
Se: 0.0000 0.0000 0.8038 [3 per cell]
Se: 0.0000 0.0000 0.9392 [3 per cell]

E_form (uncorrected) = -683 meV/atom

(5)
A plane-wave DFT calculation with GGA-PBE was carried out for a relaxed structure of Li4La4Tl7.

Unit cell a=16.1072 b=16.1072 c=6.1336 alpha=90.00 beta=90.00 gamma=90.00
Space group I4/mmm (No. 139)
Symmetry-distinct sites (fractional):
Li: 0.1496 0.3504 0.2500 [16 per cell]
La: 0.0000 0.1959 0.0000 [8 per cell]
La: 0.1409 0.1409 0.5000 [8 per cell]
Tl: 0.0000 0.0000 0.2510 [4 per cell]
Tl: 0.0000 0.2990 0.5000 [8 per cell]
Tl: 0.0000 0.4045 0.0000 [8 per cell]
Tl: 0.2079 0.2079 0.0000 [8 per cell]

ΔE_f = -4.7 eV/f.u.

(6)
A plane-wave DFT calculation with GGA-PBE was carried out for a relaxed structure of Cs2TaNbO6.

Unit cell a=8.3158 b=8.3158 c=8.3158 alpha=90.00 beta=90.00 gamma=90.00
Space group Fm-3m (No. 225)
Symmetry-distinct sites (fractional):
Cs: 0.2500 0.2500 0.2500 [8 per cell]
Ta: 0.0000 0.0000 0.0000 [4 per cell]
Nb: 0.0000 0.0000 0.5000 [4 per cell]
O: 0.0000 0.0000 0.2487 [24 per cell]

E_form (uncorrected) = -2274 meV/atom

(7)
A plane-wave DFT calculation with GGA-PBE was carried out for a relaxed structure of ErGa5Tc.

Unit cell a=4.3290 b=4.3290 c=6.9259 alpha=90.00 beta=90.00 gamma=90.00
Space group P4/mmm (No. 123)
Symmetry-distinct sites (fractional):
Er: 0.0000 0.0000 0.0000 [1 per cell]
Ga: 0.0000 0.5000 0.3028 [4 per cell]
Ga: 0.5000 0.5000 0.0000 [1 per cell]
Tc: 0.0000 0.0000 0.5000 [1 per cell]

ΔE_f = -2.6 eV/f.u.

(8)
A plane-wave DFT calculation with GGA-PBE was carried out for a relaxed structure of Sr2Ga4Ni3.

Unit cell a=5.5064 b=9.4998 c=13.3126 alpha=90.00 beta=90.00 gamma=90.00
Space group Fmmm (No. 69)
Symmetry-distinct sites (fractional):
Sr: 0.0000 0.0000 0.1349 [8 per cell]
Ga: 0.0000 0.1718 0.3571 [16 per cell]
Ni: 0.0000 0.0000 0.5000 [4 per cell]
Ni: 0.2500 0.2500 0.0000 [8 per cell]

ΔE_f = -2.8 eV/f.u.

(9)
A plane-wave DFT calculation with GGA-PBE was carried out for a relaxed structure of V2SiB.

Unit cell a=2.9626 b=2.9626 c=19.0148 alpha=90.00 beta=90.00 gamma=120.00
Space group R-3m (No. 166, hexagonal axes)
Symmetry-distinct sites (fractional):
V: 0.0000 0.0000 0.2291 [6 per cell]
Si: 0.0000 0.0000 0.0000 [3 per cell]
B: 0.0000 0.0000 0.5000 [3 per cell]

polymorph energy (0 for the lowest one) = 0.232 eV/atom
E_form (uncorrected) = -291 meV/atom

(10)
A plane-wave DFT calculation with GGA-PBE was carried out for a relaxed structure of CaTbTlRh.

Unit cell a=7.2555 b=7.2555 c=7.2555 alpha=90.00 beta=90.00 gamma=90.00
Space group F-43m (No. 216)
Symmetry-distinct sites (fractional):
Ca: 0.0000 0.0000 0.0000 [4 per cell]
Tb: 0.0000 0.0000 0.5000 [4 per cell]
Tl: 0.2500 0.2500 0.7500 [4 per cell]
Rh: 0.2500 0.2500 0.2500 [4 per cell]

polymorph energy (0 for the lowest one) = 0.129 eV/atom
ΔE_f = -1.6 eV/f.u.

(11)
A plane-wave DFT calculation with GGA-PBE was carried out for a relaxed structure of YV2FeOs.

Unit cell a=4.5300 b=4.5300 c=4.7830 alpha=90.00 beta=90.00 gamma=90.00
Space group P4/mmm (No. 123)
Symmetry-distinct sites (fractional):
Y: 0.0000 0.0000 0.0000 [1 per cell]
V: 0.0000 0.5000 0.0000 [2 per cell]
Fe: 0.5000 0.5000 0.5000 [1 per cell]
Os: 0.0000 0.0000 0.5000 [1 per cell]

ΔE_f = 13.5 eV/f.u.

(12)
A plane-wave DFT calculation with GGA-PBE was carried out for a relaxed structure of MgSc2OsRu.

Unit cell a=4.8952 b=4.8952 c=4.8789 alpha=90.00 beta=90.00 gamma=90.00
Space group P4/mmm (No. 123)
Symmetry-distinct sites (fractional):
Mg: 0.0000 0.0000 0.0000 [1 per cell]
Sc: 0.0000 0.5000 0.5000 [2 per cell]
Os: 0.0000 0.0000 0.5000 [1 per cell]
Ru: 0.5000 0.5000 0.0000 [1 per cell]

ΔE_f = 3.3 eV/f.u.

The records above give, respectively, uncorrected energy values of -0.0518; -0.3401; -0.1255; -0.1841; -0.1192; -0.2797; -0.1715; -0.1455; -0.2894; -0.1646; -0.2272; -0.2316 hartree per atom.